Record 1
PmBe4NiPt2 | PBE-GGA | optimized geometry

Cell lengths 3.889, 3.889, 8.516 Å; angles 76.80, 76.80, 60.00 degrees
Fractional coordinates of all 8 atoms:
Ni: 0.500 0.500 0.500
Pt: 0.768 0.768 0.697
Be: 0.588 0.588 0.236
Pt: 0.232 0.232 0.303
Pm: 0.000 0.000 0.000
Be: 0.412 0.412 0.764
Be: 0.134 0.134 0.597
Be: 0.866 0.866 0.403

## Properties
ΔH_f (0 K) in meV/atom: -632

---

Record 2
LaGe3Pt3 | PBE-GGA | optimized geometry

Cell lengths 6.842, 6.842, 6.842 Å; angles 90.00, 90.00, 90.00 degrees
Fractional coordinates of all 14 atoms:
Pt: 0.500 0.750 0.000
Pt: 0.000 0.500 0.750
Ge: 0.250 0.500 0.000
Ge: 0.750 0.500 0.000
Ge: 0.000 0.750 0.500
La: 0.500 0.500 0.500
Ge: 0.000 0.250 0.500
Ge: 0.500 0.000 0.250
Ge: 0.500 0.000 0.750
Pt: 0.750 0.000 0.500
Pt: 0.500 0.250 0.000
Pt: 0.000 0.500 0.250
La: 0.000 0.000 0.000
Pt: 0.250 0.000 0.500

## Properties
ΔH_f (0 K) in meV/atom: -538
E above lowest polymorph in kJ/mol of atoms: 6.5

---

Record 3
Nd2Al2Ga3 | PBE-GGA | optimized geometry

Cell lengths 4.377, 7.217, 9.860 Å; angles 90.00, 102.82, 90.00 degrees
Fractional coordinates of all 14 atoms:
Al: 0.323 0.067 0.647
Nd: 0.842 0.750 0.685
Ga: 0.557 0.077 0.114
Ga: 0.557 0.423 0.114
Ga: 0.777 0.250 0.554
Ga: 0.223 0.750 0.446
Nd: 0.053 0.750 0.107
Nd: 0.947 0.250 0.893
Al: 0.677 0.933 0.353
Ga: 0.443 0.923 0.886
Al: 0.677 0.567 0.353
Ga: 0.443 0.577 0.886
Al: 0.323 0.433 0.647
Nd: 0.158 0.250 0.315

## Properties
ΔH_f (0 K) in meV/atom: -520

---

Record 4
TbHo12Er6 | PBE-GGA | optimized geometry

Cell lengths 8.436, 8.436, 8.436 Å; angles 88.25, 88.25, 88.25 degrees
Fractional coordinates of all 19 atoms:
Ho: 0.457 0.565 0.226
Ho: 0.226 0.457 0.565
Ho: 0.435 0.774 0.543
Ho: 0.793 0.643 0.990
Tb: 0.000 0.000 0.000
Ho: 0.543 0.435 0.774
Ho: 0.565 0.226 0.457
Er: 0.907 0.310 0.743
Er: 0.310 0.743 0.907
Ho: 0.643 0.990 0.793
Er: 0.743 0.907 0.310
Er: 0.257 0.093 0.690
Ho: 0.207 0.357 0.010
Ho: 0.774 0.543 0.435
Er: 0.093 0.690 0.257
Ho: 0.990 0.793 0.643
Ho: 0.357 0.010 0.207
Ho: 0.010 0.207 0.357
Er: 0.690 0.257 0.093

## Properties
ΔH_f (0 K) in meV/atom: 160
E above lowest polymorph in kJ/mol of atoms: 0.0

---

Record 5
Y2GaFeH | PBE-GGA | optimized geometry

Cell lengths 4.916, 4.916, 3.587 Å; angles 90.00, 90.00, 90.00 degrees
Fractional coordinates of all 5 atoms:
H: 0.000 0.000 0.000
Y: 0.500 0.000 0.000
Ga: 0.500 0.500 0.500
Y: 0.000 0.500 0.000
Fe: 0.000 0.000 0.500

## Properties
Calculated total energy in eV/atom: -5.884

---

Record 6
HoErCu | PBE-GGA | optimized geometry

Cell lengths 4.808, 4.808, 4.808 Å; angles 60.00, 60.00, 60.00 degrees
Fractional coordinates of all 3 atoms:
Cu: 0.250 0.250 0.250
Ho: 0.500 0.500 0.500
Er: 0.000 0.000 0.000

## Properties
ΔH_f (0 K) in meV/atom: 37
E above lowest polymorph in kJ/mol of atoms: 20.7